OsO2 after structural relaxation, computed with PBE.

Values from the calculation:
Total DFT energy (no corrections) = -5.26 eV/atom
Total moment = 0.00 μB/f.u.
Space group = Fd-3m

Cell: 4.3422 4.3422 4.3422 Å, 60.00 60.00 60.00°
With the nearest neighbours (Å) after each atom.
Fractional positions:
O1 0.6250 0.6250 0.1250  6 O 2.17
O2 0.6250 0.1250 0.6250  6 O 2.17
O3 0.1250 0.6250 0.6250  6 O 2.17
O4 0.6250 0.6250 0.6250  6 O 2.17
Os1 0.0000 0.0000 0.0000  12 O 2.55, 4 Os 2.66
Os2 0.2500 0.2500 0.2500  12 O 2.55, 4 Os 2.66

=====

AsOsPbO after structural relaxation, computed with PBE.

Values from the calculation:
Total moment = 0.01 μB/f.u.
Energy above the most stable polymorph in this dataset = 0.001 eV per atom
Space group = P4/nmm

Cell: 3.8932 3.8932 10.5724 Å, 90.00 90.00 90.00°
With the nearest neighbours (Å) after each atom.
Fractional positions:
As1 0.7500 0.7500 0.3504  4 Os 2.51
As2 0.2500 0.2500 0.6496  4 Os 2.51
O1 0.7500 0.2500 0.0000  4 Pb 2.31
O2 0.2500 0.7500 0.0000  4 Pb 2.31
Os1 0.7500 0.2500 0.5000  4 As 2.51, 4 Os 2.75
Os2 0.2500 0.7500 0.5000  4 As 2.51, 4 Os 2.75
Pb1 0.2500 0.2500 0.1183  4 O 2.31
Pb2 0.7500 0.7500 0.8817  4 O 2.31

=====

CsLuFeS3 after structural relaxation, computed with PBE.

Values from the calculation:
Total moment = 3.98 μB/f.u.
Energy above the most stable polymorph in this dataset = 0.000 eV per atom
Space group = P2_1/m

Cell: 9.3280 3.9186 9.7620 Å, 90.00 113.00 90.00°
With the nearest neighbours (Å) after each atom.
Fractional positions:
Cs1 0.7768 0.7500 0.2514  7 S 3.47-3.70
Cs2 0.2232 0.2500 0.7486  7 S 3.47-3.70
Fe1 0.0750 0.2500 0.0954  4 S 2.28-2.39
Fe2 0.9250 0.7500 0.9046  4 S 2.28-2.39
Lu1 0.3330 0.7500 0.3574  6 S 2.64-2.79
Lu2 0.6670 0.2500 0.6426  6 S 2.64-2.79
S1 0.1939 0.7500 0.0474  3 Fe 2.35-2.39
S2 0.1254 0.2500 0.3434  1 Fe 2.28
S3 0.5253 0.2500 0.3497  3 Lu 2.64-2.68
S4 0.4747 0.7500 0.6503  3 Lu 2.64-2.68
S5 0.8746 0.7500 0.6566  1 Fe 2.28
S6 0.8061 0.2500 0.9525  3 Fe 2.35-2.39

=====

HfSc3N4 after structural relaxation, computed with PBE.

Values from the calculation:
Total DFT energy (no corrections) = -9.73 eV/atom
Total moment = 0.00 μB/f.u.
Space group = Cmmm

Cell: 5.5081 5.5081 3.1830 Å, 90.00 90.00 109.38°
With the nearest neighbours (Å) after each atom.
Fractional positions:
Hf1 0.0000 0.0000 0.5000  6 N 2.22-2.23
N1 0.2454 0.2454 0.0000  2 Hf 2.23, 4 Sc 2.25-2.27
N2 0.7546 0.7546 0.0000  2 Hf 2.23, 4 Sc 2.25-2.27
N3 0.7528 0.2472 0.5000  1 Hf 2.22, 5 Sc 2.25-2.27
N4 0.2472 0.7528 0.5000  1 Hf 2.22, 5 Sc 2.25-2.27
Sc1 0.5000 0.0000 0.0000  6 N 2.25
Sc2 0.0000 0.5000 0.0000  6 N 2.25
Sc3 0.5000 0.5000 0.5000  6 N 2.27

=====

SrNpFe after structural relaxation, computed with PBE.

Values from the calculation:
Total DFT energy (no corrections) = -5.26 eV/atom
Total moment = 0.15 μB/f.u.
Space group = F-43m

Cell: 4.8383 4.8383 4.8383 Å, 60.00 60.00 60.00°
With the nearest neighbours (Å) after each atom.
Fractional positions:
Fe1 0.0000 0.0000 0.0000  4 Sr 2.96
Np1 0.5000 0.5000 0.5000  4 Sr 2.96
Sr1 0.2500 0.2500 0.2500  4 Np 2.96, 4 Fe 2.96

=====

TmSc2S4 after structural relaxation, computed with PBE.

Values from the calculation:
Total DFT energy (no corrections) = -6.64 eV/atom
Total moment = 0.41 μB/f.u.
Space group = Fd-3m

Cell: 7.7076 7.7076 7.7076 Å, 60.00 60.00 60.00°
With the nearest neighbours (Å) after each atom.
Fractional positions:
S1 0.8446 0.3851 0.3851  1 Tm 2.55, 3 Sc 2.62
S2 0.3851 0.8446 0.3851  1 Tm 2.55, 3 Sc 2.62
S3 0.3851 0.3851 0.3851  1 Tm 2.55, 3 Sc 2.62
S4 0.8649 0.8649 0.4054  1 Tm 2.55, 3 Sc 2.62
S5 0.3851 0.3851 0.8446  1 Tm 2.55, 3 Sc 2.62
S6 0.8649 0.4054 0.8649  1 Tm 2.55, 3 Sc 2.62
S7 0.4054 0.8649 0.8649  1 Tm 2.55, 3 Sc 2.62
S8 0.8649 0.8649 0.8649  1 Tm 2.55, 3 Sc 2.62
Sc1 0.6250 0.6250 0.1250  6 S 2.62
Sc2 0.6250 0.1250 0.6250  6 S 2.62
Sc3 0.1250 0.6250 0.6250  6 S 2.62
Sc4 0.6250 0.6250 0.6250  6 S 2.62
Tm1 0.0000 0.0000 0.0000  4 S 2.55
Tm2 0.2500 0.2500 0.2500  4 S 2.55

=====

Ta3NbAl2C2 after structural relaxation, computed with PBE.

Values from the calculation:
Total DFT energy (no corrections) = -9.47 eV/atom
Total moment = 0.00 μB/f.u.
Space group = P3m1

Cell: 3.1015 3.1015 13.9516 Å, 90.00 90.00 120.00°
With the nearest neighbours (Å) after each atom.
Fractional positions:
Al1 0.0000 0.0000 0.2499  6 Ta 2.86, 6 Al 3.10
Al2 0.3333 0.6667 0.7499  3 Nb 2.86, 3 Ta 2.86, 6 Al 3.10
C1 0.6667 0.3333 0.0011  3 Ta 2.18, 3 Nb 2.20
C2 0.6667 0.3333 0.5000  6 Ta 2.19
Nb1 0.0000 0.0000 0.9096  3 C 2.20
Ta1 0.3333 0.6667 0.0898  3 C 2.18
Ta2 0.3333 0.6667 0.4099  3 C 2.19
Ta3 0.0000 0.0000 0.5898  3 C 2.19

=====

InIrAuSeS2 after structural relaxation, computed with PBE.

Values from the calculation:
Total DFT energy (no corrections) = -4.68 eV/atom
Total moment = 0.00 μB/f.u.
Space group = Cmcm

Cell: 7.2809 7.2809 9.7827 Å, 90.00 90.00 150.28°
With the nearest neighbours (Å) after each atom.
Fractional positions:
Au1 0.8435 0.1565 0.2500  2 S 2.37
Au2 0.1565 0.8435 0.7500  2 S 2.37
In1 0.1939 0.8061 0.2500  2 Se 2.73, 2 Au 2.81, 2 S 2.89
In2 0.8061 0.1939 0.7500  2 Se 2.73, 2 Au 2.81, 2 S 2.89
Ir1 0.5000 0.5000 0.0000  4 S 2.42, 2 Se 2.55
Ir2 0.5000 0.5000 0.5000  4 S 2.42, 2 Se 2.55
S1 0.8918 0.1082 0.0182  1 Au 2.37, 2 Ir 2.42
S2 0.8918 0.1082 0.4818  1 Au 2.37, 2 Ir 2.42
S3 0.1082 0.8918 0.5182  1 Au 2.37, 2 Ir 2.42
S4 0.1082 0.8918 0.9818  1 Au 2.37, 2 Ir 2.42
Se1 0.5524 0.4476 0.2500  2 Ir 2.55, 2 In 2.73
Se2 0.4476 0.5524 0.7500  2 Ir 2.55, 2 In 2.73

=====

NaHfBPd after structural relaxation, computed with PBE.

Values from the calculation:
Total moment = 0.00 μB/f.u.
Energy above the most stable polymorph in this dataset = 0.099 eV per atom
Space group = F-43m

Cell: 4.3328 4.3328 4.3328 Å, 60.00 60.00 60.00°
With the nearest neighbours (Å) after each atom.
Fractional positions:
B1 0.2500 0.2500 0.2500  4 Hf 2.65, 4 Pd 2.65
Hf1 0.0000 0.0000 0.0000  4 B 2.65, 4 Na 2.65
Na1 0.7500 0.7500 0.7500  4 Pd 2.65, 4 Hf 2.65
Pd1 0.5000 0.5000 0.5000  4 Na 2.65, 4 B 2.65

=====

KNiBiSe3 after structural relaxation, computed with PBE.

Values from the calculation:
Total DFT energy (no corrections) = -4.01 eV/atom
Total moment = 2.00 μB/f.u.
Space group = Cmcm

Cell: 7.5343 7.5343 11.2974 Å, 90.00 90.00 147.58°
With the nearest neighbours (Å) after each atom.
Fractional positions:
Bi1 0.0000 0.0000 0.0000  6 Se 2.94-2.96
Bi2 0.0000 0.0000 0.5000  6 Se 2.94-2.96
K1 0.2547 0.7452 0.2500  6 Se 3.40
K2 0.7452 0.2547 0.7500  6 Se 3.40
Ni1 0.5274 0.4726 0.2500  4 Se 2.42-2.46
Ni2 0.4726 0.5274 0.7500  4 Se 2.42-2.46
Se1 0.6278 0.3722 0.0790  1 Ni 2.42
Se2 0.9398 0.0602 0.2500  2 Ni 2.46
Se3 0.6278 0.3722 0.4210  1 Ni 2.42
Se4 0.3722 0.6278 0.5790  1 Ni 2.42
Se5 0.0602 0.9398 0.7500  2 Ni 2.46
Se6 0.3722 0.6278 0.9210  1 Ni 2.42

=====

Nb2TlPt after structural relaxation, computed with PBE.

Values from the calculation:
Total DFT energy (no corrections) = -6.92 eV/atom
Total moment = 0.06 μB/f.u.
Space group = F-43m

Cell: 4.7124 4.7124 4.7124 Å, 60.00 60.00 60.00°
With the nearest neighbours (Å) after each atom.
Fractional positions:
Nb1 0.0000 0.0000 0.0000  4 Pt 2.89, 4 Nb 2.89
Nb2 0.7500 0.7500 0.7500  4 Tl 2.89, 4 Nb 2.89
Pt1 0.2500 0.2500 0.2500  4 Nb 2.89, 4 Tl 2.89
Tl1 0.5000 0.5000 0.5000  4 Pt 2.89, 4 Nb 2.89

=====

ErZnPd after structural relaxation, computed with PBE.

Values from the calculation:
Total moment = 0.00 μB/f.u.
Space group = F-43m
Energy relative to the elements = -0.584 eV/atom

Cell: 4.5439 4.5439 4.5439 Å, 60.00 60.00 60.00°
With the nearest neighbours (Å) after each atom.
Fractional positions:
Er1 0.5000 0.5000 0.5000  4 Pd 2.78
Pd1 0.2500 0.2500 0.2500  4 Er 2.78, 4 Zn 2.78
Zn1 0.0000 0.0000 0.0000  4 Pd 2.78

=====

Tl2Pd2Se3 after structural relaxation, computed with PBE.

Values from the calculation:
Energy above the most stable polymorph in this dataset = 0.000 eV per atom
Space group = I2_13

Cell: 7.5419 7.5419 7.5419 Å, 109.47 109.47 109.47°
With the nearest neighbours (Å) after each atom.
Fractional positions:
Pd1 0.8030 0.5000 0.0000  3 Se 2.57
Pd2 0.0000 0.8030 0.5000  3 Se 2.57
Pd3 0.6970 0.6970 0.6970  3 Se 2.57
Pd4 0.5000 0.0000 0.8030  3 Se 2.57
Se1 0.7500 0.8313 0.0813  2 Pd 2.57
Se2 0.6687 0.4187 0.2500  2 Pd 2.57
Se3 0.2500 0.6687 0.4187  2 Pd 2.57
Se4 0.4187 0.2500 0.6687  2 Pd 2.57
Se5 0.8313 0.0813 0.7500  2 Pd 2.57
Se6 0.0813 0.7500 0.8313  2 Pd 2.57
Tl1 0.3235 0.5000 0.0000  6 Se 3.04-3.29, 3 Tl 3.21
Tl2 0.1765 0.1765 0.1765  6 Se 3.04-3.29, 3 Tl 3.21
Tl3 0.5000 0.0000 0.3235  6 Se 3.04-3.29, 3 Tl 3.21
Tl4 0.0000 0.3235 0.5000  6 Se 3.04-3.29, 3 Tl 3.21

=====

LaInPdPt after structural relaxation, computed with PBE.

Values from the calculation:
Total moment = 0.00 μB/f.u.
Energy above the most stable polymorph in this dataset = 0.000 eV per atom
Space group = P6_3mc

Cell: 4.6841 4.6841 9.3663 Å, 90.00 90.00 120.00°
With the nearest neighbours (Å) after each atom.
Fractional positions:
In1 0.0000 0.0000 0.0016  3 Pt 2.81, 3 Pd 2.82
In2 0.0000 0.0000 0.5016  3 Pt 2.81, 3 Pd 2.82
La1 0.6667 0.3333 0.2482  4 Pd 3.10-3.13, 4 Pt 3.11-3.14
La2 0.3333 0.6667 0.7482  4 Pd 3.10-3.13, 4 Pt 3.11-3.14
Pd1 0.3333 0.6667 0.4169  3 In 2.82, 4 La 3.10-3.13, 4 Pt 3.12
Pd2 0.6667 0.3333 0.9169  3 In 2.82, 4 La 3.10-3.13, 4 Pt 3.12
Pt1 0.3333 0.6667 0.0833  3 In 2.81, 4 La 3.11-3.14, 4 Pd 3.12
Pt2 0.6667 0.3333 0.5833  3 In 2.81, 4 La 3.11-3.14, 4 Pd 3.12

=====

PmCoSb after structural relaxation, computed with PBE.

Values from the calculation:
Total moment = 1.87 μB/f.u.
Energy above the most stable polymorph in this dataset = 0.807 eV per atom
Space group = F-43m

Cell: 4.9335 4.9335 4.9335 Å, 60.00 60.00 60.00°
With the nearest neighbours (Å) after each atom.
Fractional positions:
Co1 0.5000 0.5000 0.5000  4 Pm 3.02
Pm1 0.2500 0.2500 0.2500  4 Co 3.02, 4 Sb 3.02
Sb1 0.0000 0.0000 0.0000  4 Pm 3.02

=====

Nd3Cu2Si4Pt2 after structural relaxation, computed with PBE.

Values from the calculation:
Total DFT energy (no corrections) = -5.93 eV/atom
Total moment = 0.01 μB/f.u.
Space group = Immm

Cell: 12.5101 12.5101 12.5101 Å, 160.82 160.75 27.30°
With the nearest neighbours (Å) after each atom.
Fractional positions:
Cu1 0.2492 0.2492 0.0000  4 Si 2.44-2.47
Cu2 0.7508 0.7508 0.0000  4 Si 2.44-2.47
Nd1 0.0000 0.0000 0.0000  4 Pt 3.15, 8 Si 3.19
Nd2 0.6512 0.1512 0.5000  6 Si 3.15-3.24, 4 Cu 3.17-3.19, 4 Pt 3.23
Nd3 0.3488 0.8488 0.5000  6 Si 3.15-3.24, 4 Cu 3.17-3.19, 4 Pt 3.23
Pt1 0.9027 0.4027 0.5000  3 Si 2.40-2.42
Pt2 0.0973 0.5973 0.5000  3 Si 2.40-2.42
Si1 0.4507 0.4507 0.0000  2 Pt 2.40, 1 Si 2.40
Si2 0.5493 0.5493 0.0000  2 Pt 2.40, 1 Si 2.40
Si3 0.8031 0.3031 0.5000  1 Pt 2.42, 4 Cu 2.44-2.47
Si4 0.1969 0.6969 0.5000  1 Pt 2.42, 4 Cu 2.44-2.47

=====

TaZnCuPt after structural relaxation, computed with PBE.

Values from the calculation:
Total moment = 0.00 μB/f.u.
Energy above the most stable polymorph in this dataset = 0.164 eV per atom
Space group = F-43m
Energy relative to the elements = -0.144 eV/atom

Cell: 4.3461 4.3461 4.3461 Å, 60.00 60.00 60.00°
With the nearest neighbours (Å) after each atom.
Fractional positions:
Cu1 0.7500 0.7500 0.7500  4 Pt 2.66, 4 Ta 2.66
Pt1 0.0000 0.0000 0.0000  4 Cu 2.66, 4 Zn 2.66
Ta1 0.5000 0.5000 0.5000  4 Cu 2.66, 4 Zn 2.66
Zn1 0.2500 0.2500 0.2500  4 Ta 2.66, 4 Pt 2.66

=====

AgBH6Ir after structural relaxation, computed with PBE.

Values from the calculation:
Total DFT energy (no corrections) = -3.17 eV/atom
Total moment = 0.00 μB/f.u.
Space group = F-43m

Cell: 4.5068 4.5068 4.5068 Å, 60.00 60.00 60.00°
With the nearest neighbours (Å) after each atom.
Fractional positions:
Ag1 0.5000 0.5000 0.5000  6 H 1.84
B1 0.2500 0.2500 0.2500  12 H 2.27
H1 0.7882 0.2118 0.2118  1 Ag 1.84, 4 H 1.91
H2 0.2118 0.7882 0.2118  1 Ag 1.84, 4 H 1.91
H3 0.7882 0.7882 0.2118  1 Ag 1.84, 4 H 1.91
H4 0.2118 0.2118 0.7882  1 Ag 1.84, 4 H 1.91
H5 0.2118 0.7882 0.7882  1 Ag 1.84, 4 H 1.91
H6 0.7882 0.2118 0.7882  1 Ag 1.84, 4 H 1.91
Ir1 0.7500 0.7500 0.7500  12 H 2.27

=====

SnPd3Au3 after structural relaxation, computed with PBE.

Values from the calculation:
Energy above the most stable polymorph in this dataset = 0.016 eV per atom
Space group = P-3m1

Cell: 5.6659 5.6659 13.9893 Å, 90.00 90.00 120.00°
With the nearest neighbours (Å) after each atom.
Fractional positions:
Au1 0.3270 0.1635 0.3368  6 Au 2.78-2.89, 2 Pd 2.86, 1 Sn 2.95
Au2 0.8365 0.1635 0.3368  6 Au 2.78-2.89, 2 Pd 2.86, 1 Sn 2.95
Au3 0.8365 0.6730 0.3368  6 Au 2.78-2.89, 2 Pd 2.86, 1 Sn 2.95
Au4 0.5000 0.0000 0.5000  8 Au 2.82-2.83
Au5 0.0000 0.5000 0.5000  8 Au 2.82-2.83
Au6 0.5000 0.5000 0.5000  8 Au 2.82-2.83
Au7 0.1635 0.3270 0.6632  6 Au 2.78-2.89, 2 Pd 2.86, 1 Sn 2.95
Au8 0.1635 0.8365 0.6632  6 Au 2.78-2.89, 2 Pd 2.86, 1 Sn 2.95
Au9 0.6730 0.8365 0.6632  6 Au 2.78-2.89, 2 Pd 2.86, 1 Sn 2.95
Pd1 0.5000 0.0000 0.0000  4 Sn 2.80-2.83, 8 Pd 2.83-2.86
Pd2 0.0000 0.5000 0.0000  4 Sn 2.80-2.83, 8 Pd 2.83-2.86
Pd3 0.5000 0.5000 0.0000  4 Sn 2.80-2.83, 8 Pd 2.83-2.86
Pd4 0.1676 0.3351 0.1682  6 Pd 2.82-2.86, 3 Sn 2.83-2.87, 2 Au 2.86
Pd5 0.1676 0.8324 0.1682  6 Pd 2.82-2.86, 3 Sn 2.83-2.87, 2 Au 2.86
Pd6 0.6649 0.8324 0.1682  6 Pd 2.82-2.86, 3 Sn 2.83-2.87, 2 Au 2.86
Pd7 0.3351 0.1676 0.8318  6 Pd 2.82-2.86, 3 Sn 2.83-2.87, 2 Au 2.86
Pd8 0.8324 0.1676 0.8318  6 Pd 2.82-2.86, 3 Sn 2.83-2.87, 2 Au 2.86
Pd9 0.8324 0.6649 0.8318  6 Pd 2.82-2.86, 3 Sn 2.83-2.87, 2 Au 2.86
Sn1 0.0000 0.0000 0.0000  12 Pd 2.83-2.87
Sn2 0.6667 0.3333 0.1624  9 Pd 2.80-2.83, 3 Au 2.95
Sn3 0.3333 0.6667 0.8376  9 Pd 2.80-2.83, 3 Au 2.95

=====

LaNpCo after structural relaxation, computed with PBE.

Values from the calculation:
Total moment = 4.33 μB/f.u.
Energy above the most stable polymorph in this dataset = 0.000 eV per atom
Space group = F-43m
Energy relative to the elements = 0.366 eV/atom

Cell: 4.6742 4.6742 4.6742 Å, 60.00 60.00 60.00°
With the nearest neighbours (Å) after each atom.
Fractional positions:
Co1 0.0000 0.0000 0.0000  4 Np 2.86, 4 La 2.86
La1 0.2500 0.2500 0.2500  4 Co 2.86
Np1 0.7500 0.7500 0.7500  4 Co 2.86